(1)
! ErTmMnIn | Alexandria | GGA-PBE | relaxed; values from VASP
! SG: F-43m
! Final energy, Ha/atom: -0.1961
&SYSTEM
  ibrav = 0, nat = 16, ntyp = 4
/
ATOMIC_SPECIES
Er 167.26 Er.upf
Tm 168.93 Tm.upf
Mn 54.94 Mn.upf
In 114.82 In.upf
ATOMIC_POSITIONS crystal
Er 0.000 0.000 0.000
Er 0.000 0.500 0.500
Er 0.500 0.000 0.500
Er 0.500 0.500 0.000
Tm 0.000 0.000 0.500
Tm 0.000 0.500 0.000
Tm 0.500 0.000 0.000
Tm 0.500 0.500 0.500
Mn 0.250 0.250 0.750
Mn 0.250 0.750 0.250
Mn 0.750 0.250 0.250
Mn 0.750 0.750 0.750
In 0.250 0.250 0.250
In 0.250 0.750 0.750
In 0.750 0.250 0.750
In 0.750 0.750 0.250
CELL_PARAMETERS angstrom
7.269 0.000 0.000
0.000 7.269 0.000
0.000 0.000 7.269

(2)
! ZrTaIn | Alexandria | GGA-PBE | relaxed; values from VASP
! SG: Imm2
! Final energy, Ha/atom: -0.2830
! Polymorph energy (0 for the lowest one), meV/atom: 31
&SYSTEM
  ibrav = 0, nat = 6, ntyp = 3
/
ATOMIC_SPECIES
Zr 91.22 Zr.upf
Ta 180.95 Ta.upf
In 114.82 In.upf
ATOMIC_POSITIONS crystal
Zr 0.000 0.000 0.000
Zr 0.500 0.500 0.500
Ta 0.000 0.000 0.339
Ta 0.500 0.500 0.839
In 0.000 0.000 0.677
In 0.500 0.500 0.177
CELL_PARAMETERS angstrom
3.238 0.000 0.000
0.000 3.958 0.000
0.000 0.000 9.813

(3)
! LiZrIr2 | Alexandria | GGA-PBE | relaxed; values from VASP
! SG: C2/m
! Final energy, Ha/atom: -0.2715
! Polymorph energy (0 for the lowest one), meV/atom: 227
&SYSTEM
  ibrav = 0, nat = 8, ntyp = 3
/
ATOMIC_SPECIES
Li 6.94 Li.upf
Zr 91.22 Zr.upf
Ir 192.22 Ir.upf
ATOMIC_POSITIONS crystal
Li 0.000 0.000 0.000
Li 0.500 0.500 0.000
Zr 0.000 0.500 0.500
Zr 0.500 0.000 0.500
Ir 0.247 0.500 0.228
Ir 0.253 0.000 0.772
Ir 0.747 0.000 0.228
Ir 0.753 0.500 0.772
CELL_PARAMETERS angstrom
8.856 0.000 0.000
0.000 2.976 0.000
-1.143 0.000 4.754

(4)
! Ti2InMo | Alexandria | GGA-PBE | relaxed; values from VASP
! SG: P4/mmm
! Final energy, Ha/atom: -0.2786
&SYSTEM
  ibrav = 0, nat = 4, ntyp = 3
/
ATOMIC_SPECIES
Ti 47.87 Ti.upf
In 114.82 In.upf
Mo 95.94 Mo.upf
ATOMIC_POSITIONS crystal
Ti 0.000 0.000 0.217
Ti 0.000 0.000 0.783
In 0.500 0.500 0.500
Mo 0.500 0.500 0.000
CELL_PARAMETERS angstrom
3.297 0.000 0.000
0.000 3.297 0.000
0.000 0.000 6.467

(5)
! PmDy3Tl4 | Alexandria | GGA-PBE | relaxed; values from VASP
! SG: Pmma
! Final energy, Ha/atom: -0.1417
! Polymorph energy (0 for the lowest one), meV/atom: 0
&SYSTEM
  ibrav = 0, nat = 16, ntyp = 3
/
ATOMIC_SPECIES
Pm 145.00 Pm.upf
Dy 162.50 Dy.upf
Tl 204.38 Tl.upf
ATOMIC_POSITIONS crystal
Pm 0.000 0.000 0.000
Pm 0.500 0.000 0.000
Dy 0.000 0.500 0.000
Dy 0.250 0.000 0.498
Dy 0.250 0.500 0.498
Dy 0.500 0.500 0.000
Dy 0.750 0.000 0.502
Dy 0.750 0.500 0.502
Tl 0.000 0.255 0.500
Tl 0.000 0.745 0.500
Tl 0.250 0.255 0.998
Tl 0.250 0.745 0.998
Tl 0.500 0.255 0.500
Tl 0.500 0.745 0.500
Tl 0.750 0.255 0.002
Tl 0.750 0.745 0.002
CELL_PARAMETERS angstrom
10.842 0.000 0.000
0.000 7.562 0.000
0.000 0.000 5.422

These records have formation enthalpy at 0 K values of -0.10 0.01 -0.34 -0.24 -0.35 eV/atom, in the order they appear.